# CsSc | the Alexandria database | PBE | optimized geometry
# - D(E_F): 1.65 states/eV per atom
# - Total magnetic moment: 0.000 μB/atom
# - E: -2.73 eV per atom
data_CsSc
_chemical_formula_sum 'Cs2 Sc2'
_cell_length_a 3.5632
_cell_length_b 3.5632
_cell_length_c 14.0477
_cell_angle_alpha 90.00
_cell_angle_beta 90.00
_cell_angle_gamma 120.00
_space_group_name_H-M_alt 'P 63 m c'
_space_group_IT_number 186
_space_group_name_Hall 'P 6c -2c'
loop_
_atom_site_label
_atom_site_type_symbol
_atom_site_fract_x
_atom_site_fract_y
_atom_site_fract_z
Cs1 Cs 0.3333 0.6667 0.0000
Sc1 Sc 0.3333 0.6667 0.7593